1.
# YCr4Cu3O12

A relaxed YCr4Cu3O12 crystal (GGA-PBEsol, Alexandria via LeMat-Bulk).

a = 6.2300 Å, b = 6.2300 Å, c = 6.2300 Å
α = 109.47°, β = 109.47°, γ = 109.47°
Atoms (fractional coordinates):
Y (0.0000, 0.0000, 0.0000)
Cr (0.0000, 0.0000, 0.5000)
Cr (0.0000, 0.5000, 0.0000)
Cr (0.5000, 0.0000, 0.0000)
Cr (0.5000, 0.5000, 0.5000)
Cu (0.0000, 0.5000, 0.5000)
Cu (0.5000, 0.0000, 0.5000)
Cu (0.5000, 0.5000, 0.0000)
O (0.1198, 0.8215, 0.2983)
O (0.1785, 0.2983, 0.4768)
O (0.1785, 0.7017, 0.8802)
O (0.2983, 0.1198, 0.8215)
O (0.2983, 0.4768, 0.1785)
O (0.4768, 0.1785, 0.2983)
O (0.5232, 0.8215, 0.7017)
O (0.7017, 0.5232, 0.8215)
O (0.7017, 0.8802, 0.1785)
O (0.8215, 0.2983, 0.1198)
O (0.8215, 0.7017, 0.5232)
O (0.8802, 0.1785, 0.7017)

Output
ΔE_f (raw) in eV/atom: -1.765
Total magnetization in μB/f.u.: 6.0
SG: No. 204

***

2.
# ZnCr4Cu3O12

A relaxed ZnCr4Cu3O12 crystal (GGA-PBEsol, Alexandria via LeMat-Bulk).

a = 6.1797 Å, b = 6.1797 Å, c = 6.1797 Å
α = 109.47°, β = 109.47°, γ = 109.47°
Atoms (fractional coordinates):
Zn (0.0000, 0.0000, 0.0000)
Cr (0.0000, 0.0000, 0.5000)
Cr (0.0000, 0.5000, 0.0000)
Cr (0.5000, 0.0000, 0.0000)
Cr (0.5000, 0.5000, 0.5000)
Cu (0.0000, 0.5000, 0.5000)
Cu (0.5000, 0.0000, 0.5000)
Cu (0.5000, 0.5000, 0.0000)
O (0.1212, 0.8196, 0.3016)
O (0.1804, 0.3016, 0.4819)
O (0.1804, 0.6984, 0.8788)
O (0.3016, 0.1212, 0.8196)
O (0.3016, 0.4819, 0.1804)
O (0.4819, 0.1804, 0.3016)
O (0.5181, 0.8196, 0.6984)
O (0.6984, 0.5181, 0.8196)
O (0.6984, 0.8788, 0.1804)
O (0.8196, 0.3016, 0.1212)
O (0.8196, 0.6984, 0.5181)
O (0.8788, 0.1804, 0.6984)

Output
ΔE_f (raw) in eV/atom: -1.386
Total magnetization in μB/f.u.: 5.0
SG: No. 204

***

Q: The highest total magnetization belongs to which entry?
A: YCr4Cu3O12